RbGa2SCl after structural relaxation. Source: the Alexandria database, functional GGA-PBE.

Structure (POSCAR):
```
RbGa2SCl
1.0
5.432 0.000 0.000
0.000 5.432 0.000
0.000 0.000 5.944
Rb Ga S Cl
1 2 1 1
Direct
0.000 0.000 0.000
0.000 0.500 0.500
0.500 0.000 0.500
0.500 0.500 0.000
0.000 0.000 0.500
```

Values from the calculation:
Formation energy without anion corrections ... -193 meV per atom
Total energy ... -2.7918 eV per atom



KSrNi2 after structural relaxation. Source: the Alexandria database, functional GGA-PBE.

Structure (POSCAR):
```
KSrNi2
1.0
4.071 0.000 0.000
-2.035 3.525 0.000
0.000 0.000 25.731
K Sr Ni
3 3 6
Direct
0.000 0.000 0.000
0.333 0.667 0.667
0.667 0.333 0.333
0.000 0.000 0.833
0.333 0.667 0.499
0.667 0.333 0.166
0.000 0.000 0.241
0.000 0.000 0.574
0.333 0.667 0.241
0.333 0.667 0.907
0.667 0.333 0.574
0.667 0.333 0.907
```

Values from the calculation:
Energy relative to the elements ... 0.1593 eV/atom
ΔE to the lowest computed polymorph ... 0 meV/atom
Total energy ... -3.4262 eV per atom



Ba2LaHg after structural relaxation. Source: the Alexandria database, functional GGA-PBE.

Structure (POSCAR):
```
Ba2LaHg
1.0
4.208 0.000 0.000
0.000 5.384 0.000
-1.351 0.000 7.365
Ba La Hg
2 1 1
Direct
0.083 0.000 0.268
0.917 0.000 0.732
0.500 0.500 0.000
0.500 0.500 0.500
```

Values from the calculation:
Energy relative to the elements ... -0.0346 eV/atom
Total energy ... -2.3033 eV per atom



TaIn2Os after structural relaxation. Source: the Alexandria database, functional GGA-PBE.

Structure (POSCAR):
```
TaIn2Os
1.0
4.211 0.000 0.000
0.000 4.211 0.000
0.000 0.000 8.284
Ta In Os
2 4 2
Direct
0.000 0.000 0.000
0.500 0.500 0.500
0.000 0.000 0.500
0.000 0.500 0.750
0.500 0.000 0.250
0.500 0.500 0.000
0.000 0.500 0.250
0.500 0.000 0.750
```

Values from the calculation:
Energy relative to the elements ... 0.3540 eV/atom
ΔE to the lowest computed polymorph ... 319 meV/atom
Total energy ... -6.7858 eV per atom



Y3As after structural relaxation. Source: the Alexandria database, functional GGA-PBE.

Structure (POSCAR):
```
Y3As
1.0
9.038 0.000 0.000
0.000 12.463 0.000
0.000 0.000 4.037
Y As
12 4
Direct
0.000 0.106 0.250
0.000 0.894 0.750
0.197 0.371 0.250
0.197 0.629 0.750
0.303 0.129 0.750
0.303 0.871 0.250
0.500 0.394 0.750
0.500 0.606 0.250
0.697 0.129 0.750
0.697 0.871 0.250
0.803 0.371 0.250
0.803 0.629 0.750
0.000 0.268 0.750
0.000 0.732 0.250
0.500 0.232 0.250
0.500 0.768 0.750
```

Values from the calculation:
Energy relative to the elements ... -0.6231 eV/atom
ΔE to the lowest computed polymorph ... 0 meV/atom
Total energy ... -6.6335 eV per atom



Pr8ErSb6 after structural relaxation. Source: the Alexandria database, functional GGA-PBE.

Structure (POSCAR):
```
Pr8ErSb6
1.0
4.122 2.380 8.667
-4.122 2.380 8.667
0.000 -4.760 8.667
Pr Er Sb
8 1 6
Direct
0.038 0.718 0.381
0.167 0.167 0.167
0.282 0.619 0.962
0.381 0.038 0.718
0.619 0.962 0.282
0.718 0.381 0.038
0.833 0.833 0.833
0.962 0.282 0.619
0.500 0.500 0.500
0.111 0.433 0.759
0.241 0.889 0.567
0.433 0.759 0.111
0.567 0.241 0.889
0.759 0.111 0.433
0.889 0.567 0.241
```

Values from the calculation:
Formation energy without anion corrections ... -809 meV per atom
Total energy ... -5.3108 eV per atom



| no. | D(E_F) (states/eV per atom) |
| --- | --- |
| 1 | 0.01 |
| 2 | 1.46 |
| 3 | 1.43 |
| 4 | 0.54 |
| 5 | 1.37 |
| 6 | 1.13 |